Entry 1:
DFT (PBE-GGA) results for crystalline Sm12InRh6 at its relaxed geometry.

Unit cell a=8.7352 b=8.7352 c=8.7352 alpha=109.47 beta=109.47 gamma=109.47
Atoms (fractional coordinates):
Sm  0.1160  0.3029  0.8131
Sm  0.1869  0.4898  0.3029
Sm  0.1869  0.8840  0.6971
Sm  0.3029  0.1869  0.4898
Sm  0.3029  0.8131  0.1160
Sm  0.4898  0.3029  0.1869
Sm  0.5102  0.6971  0.8131
Sm  0.6971  0.1869  0.8840
Sm  0.6971  0.8131  0.5102
Sm  0.8131  0.1160  0.3029
Sm  0.8131  0.5102  0.6971
Sm  0.8840  0.6971  0.1869
In  0.0000  0.0000  0.0000
Rh  0.1304  0.5000  0.6304
Rh  0.3696  0.8696  0.5000
Rh  0.5000  0.3696  0.8696
Rh  0.5000  0.6304  0.1304
Rh  0.6304  0.1304  0.5000
Rh  0.8696  0.5000  0.3696

Properties
total magnetization: 0.00 μB per formula unit
formation energy from the elements: -0.542 eV per atom

=====

Entry 2:
DFT (PBE-GGA) results for crystalline Sm6InRh2 at its relaxed geometry.

Unit cell a=8.6818 b=8.6818 c=8.6818 alpha=113.16 beta=110.71 gamma=104.66
Atoms (fractional coordinates):
Sm  0.0348  0.2361  0.7988
Sm  0.1809  0.2904  0.4713
Sm  0.1809  0.7096  0.8905
Sm  0.3286  0.0208  0.6922
Sm  0.3286  0.6365  0.3078
Sm  0.4373  0.2361  0.2012
Sm  0.5627  0.7639  0.7988
Sm  0.6714  0.3635  0.6922
Sm  0.6714  0.9792  0.3078
Sm  0.8191  0.2904  0.1095
Sm  0.8191  0.7096  0.5287
Sm  0.9652  0.7639  0.2012
In  0.0000  0.0000  0.0000
In  0.5000  0.5000  0.0000
Rh  0.1327  0.6327  0.5000
Rh  0.3325  0.0000  0.3325
Rh  0.6675  0.0000  0.6675
Rh  0.8673  0.3673  0.5000

Properties
total magnetization: 0.00 μB per formula unit
formation energy from the elements: -0.515 eV per atom

=====

Entry 3:
DFT (PBE-GGA) results for crystalline Sm7InRh2 at its relaxed geometry.

Unit cell a=8.2951 b=8.2951 c=5.2773 alpha=90.00 beta=90.00 gamma=113.33
Atoms (fractional coordinates):
Sm  0.0000  0.0000  0.0000
Sm  0.1893  0.4440  0.0000
Sm  0.2141  0.7859  0.5000
Sm  0.4440  0.1893  0.0000
Sm  0.5560  0.8107  0.0000
Sm  0.7859  0.2141  0.5000
Sm  0.8107  0.5560  0.0000
In  0.5000  0.5000  0.5000
Rh  0.2026  0.7974  0.0000
Rh  0.7974  0.2026  0.0000

Properties
total magnetization: 0.00 μB per formula unit
formation energy from the elements: -0.219 eV per atom

=====

Entry 4:
DFT (PBE-GGA) results for crystalline Sm4InRh at its relaxed geometry.

Unit cell a=8.2750 b=8.2750 c=6.0785 alpha=102.29 beta=102.29 gamma=114.53
Atoms (fractional coordinates):
Sm  0.0661  0.7060  0.9292
Sm  0.2061  0.3489  0.6528
Sm  0.2940  0.9339  0.5708
Sm  0.3489  0.2061  0.1528
Sm  0.6511  0.7939  0.8472
Sm  0.7060  0.0661  0.4292
Sm  0.7939  0.6511  0.3472
Sm  0.9339  0.2940  0.0708
In  0.3770  0.6230  0.2500
In  0.6230  0.3770  0.7500
Rh  0.9999  0.0001  0.2500
Rh  0.0001  0.9999  0.7500

Properties
total magnetization: 0.00 μB per formula unit
formation energy from the elements: -0.421 eV per atom
energy above the most stable polymorph in this dataset: 0.084 eV/atom

=====

Entry 5:
DFT (PBE-GGA) results for crystalline Sm4In5Rh2 at its relaxed geometry.

Unit cell a=7.7760 b=3.7117 c=9.7426 alpha=90.00 beta=94.01 gamma=90.00
Atoms (fractional coordinates):
Sm  0.1734  0.0000  0.3515
Sm  0.2213  0.0000  0.9435
Sm  0.7787  0.0000  0.0565
Sm  0.8266  0.0000  0.6485
In  0.1787  0.5000  0.6522
In  0.4511  0.5000  0.1768
In  0.5000  0.5000  0.5000
In  0.5489  0.5000  0.8232
In  0.8213  0.5000  0.3478
Rh  0.0742  0.5000  0.1414
Rh  0.9258  0.5000  0.8586

Properties
total magnetization: 0.00 μB per formula unit
formation energy from the elements: -0.582 eV per atom

=====

Entry 6:
DFT (PBE-GGA) results for crystalline Sm2In8Rh at its relaxed geometry.

Unit cell a=4.6764 b=4.6764 c=12.2743 alpha=90.00 beta=90.00 gamma=90.00
Atoms (fractional coordinates):
Sm  0.0000  0.0000  0.1914
Sm  0.0000  0.0000  0.8086
In  0.0000  0.5000  0.0000
In  0.0000  0.5000  0.3787
In  0.0000  0.5000  0.6213
In  0.5000  0.0000  0.0000
In  0.5000  0.0000  0.3787
In  0.5000  0.0000  0.6213
In  0.5000  0.5000  0.1909
In  0.5000  0.5000  0.8091
Rh  0.0000  0.0000  0.5000

Properties
total magnetization: 0.00 μB per formula unit
formation energy from the elements: -0.444 eV per atom

=====

Look up the formation energy from the elements of the fourth one.
-0.421 eV per atom

=====

Look up the formation energy from the elements of the sixth one.
-0.444 eV per atom

=====

What is the total magnetization in the sixth record?
0.00 μB per formula unit